Record 1
# Mn2CdSi

A geometry-optimized Mn2CdSi structure (PBE, the Alexandria database).

Calculated values
The polymorph energy (0 for the lowest one) comes out at 0.98 eV per formula unit. The value obtained for the final energy is -5.92 eV per atom. For the density of states at the Fermi level, the calculation gives 3.96 states/eV/cell. As for the space group: Fm-3m.

abc: 4.380 4.380 4.380
angles: 60.00 60.00 60.00
Positions (direct):
Mn (0.250, 0.250, 0.250)
Mn (0.750, 0.750, 0.750)
Cd (0.000, 0.000, 0.000)
Si (0.500, 0.500, 0.500)

***

Record 2
# MnV2Ge

A geometry-optimized MnV2Ge structure (PBE, the Alexandria database).

Calculated values
For the formation energy, the calculation gives -202 meV per atom. The value obtained for the final energy is -8.21 eV per atom. For the density of states at the Fermi level, the calculation gives 3.12 states/eV/cell. As for the space group: P4/mmm.

abc: 3.690 3.690 3.837
angles: 90.00 90.00 90.00
Positions (direct):
Mn (0.000, 0.000, 0.000)
V (0.000, 0.500, 0.500)
V (0.500, 0.000, 0.500)
Ge (0.500, 0.500, 0.000)

***

Record 3
# LiErB2Pt5

A geometry-optimized LiErB2Pt5 structure (PBE, the Alexandria database).

Calculated values
For the formation energy, the calculation gives -690 meV per atom. The value obtained for the final energy is -6.25 eV per atom. For the density of states at the Fermi level, the calculation gives 3.54 states/eV/cell. As for the space group: P4/mmm.

abc: 3.880 3.880 8.415
angles: 90.00 90.00 90.00
Positions (direct):
Li (0.000, 0.000, 0.000)
Er (0.000, 0.000, 0.500)
B (0.500, 0.500, 0.387)
B (0.500, 0.500, 0.613)
Pt (0.000, 0.500, 0.245)
Pt (0.000, 0.500, 0.755)
Pt (0.500, 0.000, 0.245)
Pt (0.500, 0.000, 0.755)
Pt (0.500, 0.500, 0.000)

***

Record 4
# TbCeDy4Ho2

A geometry-optimized TbCeDy4Ho2 structure (PBE, the Alexandria database).

Calculated values
For the formation energy, the calculation gives 40 meV per atom. The value obtained for the final energy is -4.73 eV per atom. For the density of states at the Fermi level, the calculation gives 13.45 states/eV/cell. As for the space group: P2/m.

abc: 6.121 3.532 11.735
angles: 90.00 99.99 90.00
Positions (direct):
Tb (0.000, 0.000, 0.000)
Ce (0.000, 0.500, 0.500)
Dy (0.246, 0.000, 0.749)
Dy (0.248, 0.500, 0.251)
Dy (0.752, 0.500, 0.749)
Dy (0.754, 0.000, 0.251)
Ho (0.500, 0.000, 0.500)
Ho (0.500, 0.500, 0.000)

***

Record 5
# Dy2GaAu6

A geometry-optimized Dy2GaAu6 structure (PBE, the Alexandria database).

Calculated values
For the formation energy, the calculation gives -604 meV per atom. The value obtained for the final energy is -4.15 eV per atom. For the density of states at the Fermi level, the calculation gives 4.15 states/eV/cell. As for the space group: C2/m.

abc: 6.355 6.355 5.324
angles: 90.10 90.10 59.87
Positions (direct):
Dy (0.166, 0.166, 0.182)
Dy (0.834, 0.834, 0.818)
Ga (0.500, 0.500, 0.000)
Au (0.134, 0.683, 0.305)
Au (0.317, 0.317, 0.696)
Au (0.317, 0.866, 0.695)
Au (0.683, 0.134, 0.305)
Au (0.683, 0.683, 0.304)
Au (0.866, 0.317, 0.695)

***

Record 6
# Dy4AsCSe2

A geometry-optimized Dy4AsCSe2 structure (PBE, the Alexandria database).

Calculated values
The value obtained for the final energy is -6.32 eV per atom. For the density of states at the Fermi level, the calculation gives 1.82 states/eV/cell. As for the space group: P2/m.

abc: 6.904 3.926 6.993
angles: 90.00 108.82 90.00
Positions (direct):
Dy (0.218, 0.000, 0.213)
Dy (0.232, 0.500, 0.778)
Dy (0.768, 0.500, 0.222)
Dy (0.782, 0.000, 0.787)
As (0.500, 0.000, 0.000)
C (0.000, 0.500, 0.000)
Se (0.000, 0.000, 0.500)
Se (0.500, 0.500, 0.500)

***

Which of these has the lowest final energy? MnV2Ge

***

Which of these has the lowest final energy? MnV2Ge

***

Which value of final energy does entry 6 give? -6.32 eV per atom

***

What did the fourth record say?
# TbCeDy4Ho2

A geometry-optimized TbCeDy4Ho2 structure (PBE, the Alexandria database).

Calculated values
For the formation energy, the calculation gives 40 meV per atom. The value obtained for the final energy is -4.73 eV per atom. For the density of states at the Fermi level, the calculation gives 13.45 states/eV/cell. As for the space group: P2/m.

abc: 6.121 3.532 11.735
angles: 90.00 99.99 90.00
Positions (direct):
Tb (0.000, 0.000, 0.000)
Ce (0.000, 0.500, 0.500)
Dy (0.246, 0.000, 0.749)
Dy (0.248, 0.500, 0.251)
Dy (0.752, 0.500, 0.749)
Dy (0.754, 0.000, 0.251)
Ho (0.500, 0.000, 0.500)
Ho (0.500, 0.500, 0.000)